Here is a relaxed structure of La2OsN4 from Alexandria. Energies are from PBE-GGA.

```
data_La2OsN4
_space_group_name_H-M_alt 'P 1 21/m 1'
_space_group_IT_number 11
_cell_length_a 6.145
_cell_length_b 5.683
_cell_length_c 6.985
_cell_angle_alpha 90.00
_cell_angle_beta 105.11
_cell_angle_gamma 90.00
loop_
_space_group_symop_operation_xyz
'x,y,z'
'-x,-y,-z'
'-x,y+1/2,-z'
'x,-y+1/2,z'
loop_
_atom_site_label
_atom_site_type_symbol
_atom_site_fract_x
_atom_site_fract_y
_atom_site_fract_z
_atom_site_occupancy
La1 La 0.197 0.250 0.034 1
La2 La 0.238 0.250 0.551 1
Os1 Os 0.266 0.750 0.804 1
N1 N 0.015 0.526 0.744 1
N2 N 0.409 0.750 0.060 1
N3 N 0.446 0.750 0.638 1
```

Calculated values
* final energy: -8.44 eV per atom
* polymorph energy (0 for the lowest one): 0.043 eV per atom